Record 1
# CdGaTcNi (PBE, optimized geometry)
# Energy (eV per formula unit): -19.09
# Calculated density (Mg/m³): 9.4
data_CdGaTcNi
_symmetry_space_group_name_H-M 'F -4 3 m'
_symmetry_Int_Tables_number 216
_symmetry_space_group_name_Hall 'F -4 2 3'
_cell_length_a 6.208
_cell_length_b 6.208
_cell_length_c 6.208
_cell_angle_alpha 90.00
_cell_angle_beta 90.00
_cell_angle_gamma 90.00
loop_
_atom_site_label
_atom_site_type_symbol
_atom_site_fract_x
_atom_site_fract_y
_atom_site_fract_z
Cd1 Cd 0.000 0.000 0.000
Ga1 Ga 0.000 0.000 0.500
Tc1 Tc 0.250 0.250 0.250
Ni1 Ni 0.250 0.250 0.750

Record 2
# Cd2Ga2O5 (PBE, optimized geometry)
# Energy (eV per formula unit): -43.70
# Calculated density (Mg/m³): 6.9
data_Cd2Ga2O5
_symmetry_space_group_name_H-M 'P 4/m m m'
_symmetry_Int_Tables_number 123
_symmetry_space_group_name_Hall '-P 4 2'
_cell_length_a 3.774
_cell_length_b 3.774
_cell_length_c 7.521
_cell_angle_alpha 90.00
_cell_angle_beta 90.00
_cell_angle_gamma 90.00
loop_
_atom_site_label
_atom_site_type_symbol
_atom_site_fract_x
_atom_site_fract_y
_atom_site_fract_z
Cd1 Cd 0.000 0.000 0.000
Cd2 Cd 0.000 0.000 0.500
Ga1 Ga 0.500 0.500 0.250
O1 O 0.000 0.500 0.203
O2 O 0.500 0.500 0.500